a | This record from Alexandria describes a relaxed Tl2InHg4 crystal. The functional is PBE.

Unit cell a=10.5279 b=10.5279 c=10.5279 alpha=60.00 beta=60.00 gamma=60.00
Closest atoms and distances in Å follow each position.
Fractional positions:
Hg: 0.6250 0.1250 0.6250  6 Tl 3.36, 6 Hg 3.51
Hg: 0.2190 0.2190 0.7810  2 In 2.98
Hg: 0.0310 0.4690 0.0310  2 In 2.98
Hg: 0.7810 0.7810 0.2190  2 In 2.98
In: 0.6250 0.1250 0.1250  6 Hg 2.98
Hg: 0.6250 0.6250 0.1250  6 Tl 3.36, 6 Hg 3.51
Tl: 0.4031 0.4031 0.4031  9 Hg 3.36-3.42
Tl: 0.7908 0.4031 0.4031  9 Hg 3.36-3.42
Tl: 0.4592 0.8469 0.8469  9 Hg 3.36-3.42
In: 0.1250 0.1250 0.6250  6 Hg 2.98
Tl: 0.4031 0.7908 0.4031  9 Hg 3.36-3.42
Hg: 0.4690 0.0310 0.0310  2 In 2.98
Hg: 0.7810 0.2190 0.7810  2 In 2.98
Hg: 0.7810 0.2190 0.2190  2 In 2.98
Hg: 0.2190 0.7810 0.2190  2 In 2.98
Tl: 0.8469 0.8469 0.8469  9 Hg 3.36-3.42
Hg: 0.1250 0.6250 0.6250  6 Tl 3.36, 6 Hg 3.51
Hg: 0.4690 0.0310 0.4690  2 In 2.98
Tl: 0.8469 0.4592 0.8469  9 Hg 3.36-3.42
Tl: 0.8469 0.8469 0.4592  9 Hg 3.36-3.42
Hg: 0.2190 0.7810 0.7810  2 In 2.98
Tl: 0.4031 0.4031 0.7908  9 Hg 3.36-3.42
Hg: 0.0310 0.4690 0.4690  2 In 2.98
Hg: 0.4690 0.4690 0.0310  2 In 2.98
Hg: 0.0310 0.0310 0.4690  2 In 2.98
In: 0.1250 0.6250 0.1250  6 Hg 2.98
In: 0.1250 0.1250 0.1250  6 Hg 2.98
Hg: 0.6250 0.6250 0.6250  6 Tl 3.36, 6 Hg 3.51

Values from the calculation:
Theoretical density in Mg/m³: 10.674
Symmetry: Fd-3m, No. 227
M_tot in μB/f.u.: 0.00

b | This record from Alexandria describes a relaxed Tl2InHg4 crystal. The functional is PBE.

Unit cell a=5.5735 b=5.5735 c=8.9530 alpha=71.86 beta=71.86 gamma=90.00
Closest atoms and distances in Å follow each position.
Fractional positions:
Hg: 0.1882 0.1882 0.6236  1 In 3.03, 1 Tl 3.07
In: 0.0000 0.0000 0.0000  6 Hg 2.79-3.03
Tl: 0.6207 0.6207 0.7586  5 Hg 3.07-3.40
Hg: 0.8118 0.8118 0.3764  1 In 3.03, 1 Tl 3.07
Hg: 0.0000 0.5000 0.0000  2 In 2.79
Tl: 0.3793 0.3793 0.2414  5 Hg 3.07-3.40
Hg: 0.5000 0.0000 0.0000  2 In 2.79

Values from the calculation:
Theoretical density in Mg/m³: 8.817
Symmetry: I4/mmm, No. 139
M_tot in μB/f.u.: 0.00

The calculated energies rank the structures as follows, beginning with the most stable: a, b.

a | This record from Alexandria describes a relaxed Tl4In3Hg8 crystal. The functional is PBE.

Unit cell a=5.0079 b=5.0079 c=17.0351 alpha=90.00 beta=90.00 gamma=90.00
Closest atoms and distances in Å follow each position.
Fractional positions:
Hg: 0.0000 0.0000 0.2443  4 Tl 3.20-3.31, 8 Hg 3.33-3.54
Tl: 0.5000 0.0000 0.8831  2 In 3.20, 8 Hg 3.23-3.54
In: 0.0000 0.0000 0.0000  4 Hg 3.11, 4 Tl 3.20
Tl: 0.5000 0.0000 0.3617  8 Hg 3.20-3.55, 4 In 3.44
Hg: 0.0000 0.5000 0.3734  4 In 3.30, 4 Hg 3.33-3.42, 4 Tl 3.55
Hg: 0.0000 0.0000 0.7557  4 Tl 3.20-3.31, 8 Hg 3.33-3.54
Hg: 0.5000 0.5000 0.7633  4 Tl 3.23-3.29, 8 Hg 3.33-3.54
Tl: 0.0000 0.5000 0.6383  8 Hg 3.20-3.55, 4 In 3.44
Hg: 0.5000 0.0000 0.6266  4 In 3.30, 4 Hg 3.33-3.42, 4 Tl 3.55
Hg: 0.5000 0.0000 0.1083  2 In 3.11, 4 Hg 3.33-3.41
Hg: 0.0000 0.5000 0.8917  2 In 3.11, 4 Hg 3.33-3.41
In: 0.5000 0.5000 0.5000  4 Hg 3.30, 4 Tl 3.44, 4 In 3.54
Hg: 0.5000 0.5000 0.2367  4 Tl 3.23-3.29, 8 Hg 3.33-3.54
In: 0.0000 0.0000 0.5000  4 Hg 3.30, 4 Tl 3.44, 4 In 3.54
Tl: 0.0000 0.5000 0.1169  2 In 3.20, 8 Hg 3.23-3.54

Values from the calculation:
Theoretical density in Mg/m³: 10.754
Symmetry: P-4m2, No. 115
M_tot in μB/f.u.: 0.00

b | This record from Alexandria describes a relaxed Tl4In3Hg8 crystal. The functional is PBE.

Unit cell a=6.6648 b=8.8083 c=8.8083 alpha=85.92 beta=110.98 gamma=110.98
Closest atoms and distances in Å follow each position.
Fractional positions:
In: 0.5000 0.5000 0.5000  6 Hg 2.98-3.14
Hg: 0.9635 0.3346 0.3346  3 Hg 3.12-3.36, 1 In 3.14, 2 Tl 3.24
Hg: 0.0365 0.6654 0.6654  3 Hg 3.12-3.36, 1 In 3.14, 2 Tl 3.24
In: 0.5000 0.0000 0.5000  6 Hg 3.03-3.33, 2 Tl 3.33
Tl: 0.0000 0.0000 0.5000  6 Hg 3.24-3.31, 2 In 3.33
Tl: 0.0000 0.5000 0.0000  6 Hg 3.24-3.31, 2 In 3.33
Hg: 0.4396 0.2533 0.2533  3 In 3.00-3.03, 1 Hg 3.12, 1 Tl 3.14
In: 0.5000 0.5000 0.0000  6 Hg 3.03-3.33, 2 Tl 3.33
Hg: 0.5000 0.2522 0.7478  3 In 2.98-3.22, 3 Tl 3.03-3.31
Tl: 0.0000 0.0000 0.0000  4 Hg 3.14-3.32, 2 Tl 3.33
Hg: 0.5604 0.7467 0.7467  3 In 3.00-3.03, 1 Hg 3.12, 1 Tl 3.14
Tl: 0.5000 0.0000 0.0000  2 Hg 3.03, 2 Tl 3.33
Hg: 0.0000 0.2769 0.7231  3 Tl 3.24-3.32, 2 In 3.33, 4 Hg 3.35-3.36
Hg: 0.0000 0.7231 0.2769  3 Tl 3.24-3.32, 2 In 3.33, 4 Hg 3.35-3.36
Hg: 0.5000 0.7478 0.2522  3 In 2.98-3.22, 3 Tl 3.03-3.31

Values from the calculation:
Theoretical density in Mg/m³: 10.213
Symmetry: C2/m, No. 12
M_tot in μB/f.u.: 0.00

The calculated energies rank the structures as follows, beginning with the most stable: a, b.

a | This record from Alexandria describes a relaxed Tl2In5Hg3 crystal. The functional is PBE.

Unit cell a=6.5859 b=9.9521 c=9.9521 alpha=87.22 beta=70.68 gamma=70.68
Closest atoms and distances in Å follow each position.
Fractional positions:
In: 0.4960 0.7540 0.7540  3 Hg 3.03-3.15, 5 In 3.11-3.29
In: 0.2500 0.5000 0.5000  4 Hg 3.05, 4 In 3.26-3.29
In: 0.7500 0.5000 0.5000  4 Hg 3.05, 4 In 3.26-3.29
Hg: 0.2500 0.0000 0.0000  6 In 3.00-3.15, 2 Hg 3.29
Hg: 0.7500 0.0000 0.0000  6 In 3.00-3.15, 2 Hg 3.29
Tl: 0.6291 0.1324 0.6094  4 In 3.49-3.65, 4 Hg 3.50-3.55
Tl: 0.8709 0.3906 0.8676  4 In 3.49-3.65, 4 Hg 3.50-3.55
In: 0.0040 0.2460 0.2460  3 Hg 3.03-3.15, 5 In 3.11-3.29
In: 0.3853 0.2622 0.9671  3 Hg 2.88-3.00, 2 In 3.11
In: 0.1147 0.0329 0.7378  3 Hg 2.88-3.00, 2 In 3.11
Hg: 0.3712 0.4854 0.7722  5 In 2.88-3.05
In: 0.6147 0.7378 0.0329  3 Hg 2.88-3.00, 2 In 3.11
Tl: 0.3709 0.8676 0.3906  4 In 3.49-3.65, 4 Hg 3.50-3.55
Hg: 0.1288 0.2278 0.5146  5 In 2.88-3.05
Tl: 0.1291 0.6094 0.1324  4 In 3.49-3.65, 4 Hg 3.50-3.55
In: 0.9960 0.7540 0.7540  3 Hg 3.03-3.15, 5 In 3.11-3.29
In: 0.5040 0.2460 0.2460  3 Hg 3.03-3.15, 5 In 3.11-3.29
In: 0.8853 0.9671 0.2622  3 Hg 2.88-3.00, 2 In 3.11
Hg: 0.8712 0.7722 0.4854  5 In 2.88-3.05
Hg: 0.6288 0.5146 0.2278  5 In 2.88-3.05

Values from the calculation:
Theoretical density in Mg/m³: 9.081
Symmetry: Ibam, No. 72
M_tot in μB/f.u.: 0.00

b | This record from Alexandria describes a relaxed Tl2In5Hg3 crystal. The functional is PBE.

Unit cell a=6.3919 b=9.5199 c=9.5197 alpha=105.45 beta=92.34 gamma=92.34
Closest atoms and distances in Å follow each position.
Fractional positions:
In: 0.7500 0.5184 0.4816  4 Hg 3.21-3.37, 4 In 3.24-3.54, 2 Tl 3.54-3.55
Hg: 0.2500 0.0622 0.9377  6 In 3.04-3.39
Hg: 0.6044 0.5068 0.7968  6 In 3.05-3.37
Tl: 0.9012 0.6064 0.1598  5 In 3.39-3.58, 2 Tl 3.42-3.49, 5 Hg 3.42-3.74
Tl: 0.0988 0.3936 0.8402  5 In 3.39-3.58, 2 Tl 3.42-3.49, 5 Hg 3.42-3.74
In: 0.8694 0.0401 0.7284  3 Hg 3.04-3.16, 3 In 3.16-3.37
Hg: 0.1044 0.7968 0.5068  6 In 3.05-3.37
Hg: 0.8956 0.2032 0.4932  6 In 3.05-3.37
In: 0.1306 0.9599 0.2716  3 Hg 3.04-3.16, 3 In 3.16-3.37
In: 0.2500 0.4816 0.5184  4 Hg 3.21-3.37, 4 In 3.24-3.54, 2 Tl 3.54-3.55
In: 0.4893 0.8167 0.7318  4 Hg 3.12-3.39, 4 In 3.17-3.44, 1 Tl 3.39
In: 0.6306 0.2716 0.9599  3 Hg 3.05-3.16, 3 In 3.16-3.37
In: 0.9893 0.7318 0.8167  4 Hg 3.12-3.39, 4 In 3.17-3.44, 1 Tl 3.39
In: 0.3694 0.7284 0.0401  3 Hg 3.05-3.16, 3 In 3.16-3.37
In: 0.0107 0.2682 0.1833  4 Hg 3.12-3.39, 4 In 3.17-3.44, 1 Tl 3.39
Hg: 0.7500 0.9378 0.0623  6 In 3.04-3.39
In: 0.5107 0.1833 0.2682  4 Hg 3.12-3.39, 4 In 3.17-3.44, 1 Tl 3.39
Hg: 0.3956 0.4932 0.2032  6 In 3.05-3.37
Tl: 0.4012 0.1598 0.6064  5 In 3.39-3.58, 2 Tl 3.42-3.49, 5 Hg 3.43-3.74
Tl: 0.5988 0.8402 0.3936  5 In 3.39-3.58, 2 Tl 3.42-3.49, 5 Hg 3.43-3.74

Values from the calculation:
Theoretical density in Mg/m³: 9.447
Symmetry: C2/c, No. 15
M_tot in μB/f.u.: 0.00

The calculated energies rank the structures as follows, beginning with the most stable: b, a.

a | This record from Alexandria describes a relaxed Tl3InHg8 crystal. The functional is PBE.

Unit cell a=6.2098 b=6.2098 c=10.7793 alpha=73.26 beta=73.26 gamma=60.00
Closest atoms and distances in Å follow each position.
Fractional positions:
Hg: 0.4390 0.9378 0.6854  6 Hg 3.10-3.12
Hg: 0.9362 0.4373 0.1892  6 Hg 3.10-3.12
Tl: 0.9991 0.9991 0.0028  12 Hg 3.64-3.69, 1 In 3.78, 3 Tl 3.81
Hg: 0.1876 0.1876 0.4371  6 Hg 3.10
Hg: 0.9378 0.4390 0.6854  6 Hg 3.10-3.12
Hg: 0.4373 0.9362 0.1892  6 Hg 3.10-3.12
Hg: 0.4373 0.4373 0.1892  6 Hg 3.10-3.12
Tl: 0.3745 0.3745 0.8766  12 Hg 3.64-3.66, 4 Tl 3.81-3.85
Tl: 0.5007 0.5007 0.4978  12 Hg 3.61-3.64, 3 In 3.80, 1 Tl 3.85
Hg: 0.6876 0.6876 0.9372  6 Hg 3.12
In: 0.8751 0.8751 0.3746  12 Hg 3.63-3.64, 4 Tl 3.78-3.80
Hg: 0.9378 0.9378 0.6854  6 Hg 3.10-3.12

Values from the calculation:
Theoretical density in Mg/m³: 11.410
Symmetry: R3m, No. 160
M_tot in μB/f.u.: 0.00

b | This record from Alexandria describes a relaxed Tl3InHg8 crystal. The functional is PBE.

Unit cell a=10.8867 b=8.3310 c=5.3889 alpha=71.14 beta=89.99 gamma=130.79
Closest atoms and distances in Å follow each position.
Fractional positions:
Hg: 0.2398 0.0000 0.0823  4 Hg 3.19-3.26, 4 Tl 3.31-3.41, 1 In 3.52
Hg: 0.9923 0.4934 0.8376  4 Hg 3.20-3.39, 3 Tl 3.28-3.44, 1 In 3.37
Hg: 0.4989 0.5066 0.3309  4 Hg 3.20-3.39, 3 Tl 3.28-3.44, 1 In 3.37
Tl: 0.1699 0.5065 0.3309  10 Hg 3.28-3.58
Tl: 0.6634 0.4935 0.8374  10 Hg 3.28-3.58
Hg: 0.3344 0.4934 0.8377  4 Hg 3.20-3.39, 3 Tl 3.28-3.44, 1 In 3.37
Tl: 0.4167 0.0000 0.5826  10 Hg 3.31-3.64
In: 0.9167 0.0000 0.0825  10 Hg 3.24-3.52
Hg: 0.5935 0.0000 0.0824  4 Hg 3.19-3.26, 4 Tl 3.31-3.41, 1 In 3.52
Hg: 0.7509 0.0000 0.5823  4 Hg 3.19-3.39, 2 In 3.24, 2 Tl 3.41
Hg: 0.0825 0.0000 0.5824  4 Hg 3.19-3.39, 2 In 3.24, 2 Tl 3.41
Hg: 0.8410 0.5066 0.3311  4 Hg 3.20-3.39, 3 Tl 3.28-3.44, 1 In 3.37

Values from the calculation:
Theoretical density in Mg/m³: 11.578
Symmetry: Imm2, No. 44
M_tot in μB/f.u.: 0.00

The calculated energies rank the structures as follows, beginning with the most stable: b, a.

a | This record from Alexandria describes a relaxed Tl2In3Hg8 crystal. The functional is PBE.

Unit cell a=3.6513 b=13.3747 c=7.8254 alpha=108.77 beta=90.00 gamma=90.00
Closest atoms and distances in Å follow each position.
Fractional positions:
Tl: 0.5000 0.3033 0.4948  7 Hg 3.17-3.43, 2 In 3.45
Hg: 0.5000 0.1455 0.7381  3 In 3.24-3.25, 1 Tl 3.27, 6 Hg 3.29-3.47
Hg: 0.0000 0.9260 0.6307  7 Hg 3.27-3.65, 3 In 3.29-3.34, 2 Tl 3.43
In: 0.0000 0.2230 0.0992  6 Hg 3.12-3.41, 2 In 3.37, 2 Tl 3.45
Hg: 0.0000 0.0740 0.3693  7 Hg 3.27-3.65, 3 In 3.29-3.34, 2 Tl 3.43
Hg: 0.5000 0.4503 0.2484  2 Tl 3.17-3.26, 4 Hg 3.31-3.32, 2 In 3.41
Tl: 0.5000 0.6967 0.5052  7 Hg 3.17-3.43, 2 In 3.45
Hg: 0.5000 0.8545 0.2619  3 In 3.24-3.25, 1 Tl 3.27, 6 Hg 3.29-3.47
Hg: 0.0000 0.6216 0.1254  1 In 3.12, 7 Hg 3.21-3.47, 2 Tl 3.35
In: 0.5000 0.0000 0.0000  6 Hg 3.25-3.29, 4 In 3.37
Hg: 0.5000 0.5497 0.7516  2 Tl 3.17-3.26, 4 Hg 3.31-3.32, 2 In 3.41
Hg: 0.0000 0.3784 0.8746  1 In 3.12, 7 Hg 3.21-3.47, 2 Tl 3.35
In: 0.0000 0.7770 0.9008  6 Hg 3.12-3.41, 2 In 3.37, 2 Tl 3.45

Values from the calculation:
Theoretical density in Mg/m³: 10.821
Symmetry: P2/m, No. 10
M_tot in μB/f.u.: 0.00

b | This record from Alexandria describes a relaxed Tl2In3Hg8 crystal. The functional is PBE.

Unit cell a=6.0545 b=6.4892 c=11.0996 alpha=107.00 beta=117.91 gamma=90.00
Closest atoms and distances in Å follow each position.
Fractional positions:
Hg: 0.2430 0.4310 0.8620  4 Hg 3.02-3.13, 2 In 3.05
Hg: 0.5010 0.1154 0.7128  1 In 3.07, 5 Hg 3.08-3.36
Hg: 0.7570 0.5690 0.1380  4 Hg 3.02-3.13, 2 In 3.05
Tl: 0.0508 0.1700 0.3401  7 Hg 3.40-3.53, 3 In 3.52-3.80
In: 0.0000 0.7626 0.0000  4 Hg 3.05-3.07, 4 In 3.08-3.41
Tl: 0.9492 0.8300 0.6599  7 Hg 3.40-3.53, 3 In 3.52-3.80
Hg: 0.5010 0.5974 0.7128  1 In 3.07, 5 Hg 3.08-3.36
In: 0.5000 0.0000 0.0000  4 In 3.40, 8 Hg 3.48-3.59, 2 Tl 3.52
Hg: 0.2130 0.7182 0.4364  5 Hg 3.02-3.26
Hg: 0.4990 0.4026 0.2872  1 In 3.07, 5 Hg 3.08-3.36
Hg: 0.7870 0.2818 0.5636  5 Hg 3.02-3.26
Hg: 0.4990 0.8846 0.2872  1 In 3.07, 5 Hg 3.08-3.36
In: 0.0000 0.2374 0.0000  4 Hg 3.05-3.07, 4 In 3.08-3.41

Values from the calculation:
Theoretical density in Mg/m³: 10.767
Symmetry: C2/m, No. 12
M_tot in μB/f.u.: 0.00

The calculated energies rank the structures as follows, beginning with the most stable: a, b.